# 1
Pr4AgPt3 | PBE | relaxed

Structure (CIF):
```
data_Pr4AgPt3
_chemical_formula_sum 'Pr4 Ag1 Pt3'
_cell_length_a 5.844
_cell_length_b 4.687
_cell_length_c 7.487
_cell_angle_alpha 90.00
_cell_angle_beta 90.07
_cell_angle_gamma 90.00
_space_group_name_H-M_alt 'P 1 m 1'
_space_group_IT_number 6
_space_group_name_Hall 'P -2y'
loop_
_atom_site_label
_atom_site_fract_x
_atom_site_fract_y
_atom_site_fract_z
Pr1 0.000 0.000 0.000
Pr2 0.215 0.000 0.512
Pr3 0.495 0.500 0.861
Pr4 0.730 0.500 0.385
Ag1 0.501 0.000 0.152
Pt1 0.012 0.500 0.735
Pt2 0.216 0.500 0.231
Pt3 0.701 0.000 0.647
```

Formation enthalpy at 0 K in meV/atom: -914
Crystal system: monoclinic
E_tot in eV/atom: -5.926

=====

# 2
PrAgPt | PBE | relaxed

Structure (CIF):
```
data_PrAgPt
_chemical_formula_sum 'Pr4 Ag4 Pt4'
_cell_length_a 6.877
_cell_length_b 6.877
_cell_length_c 6.877
_cell_angle_alpha 90.00
_cell_angle_beta 90.00
_cell_angle_gamma 90.00
_space_group_name_H-M_alt 'F -4 3 m'
_space_group_IT_number 216
_space_group_name_Hall 'F -4 2 3'
loop_
_atom_site_label
_atom_site_fract_x
_atom_site_fract_y
_atom_site_fract_z
Pr1 0.000 0.000 0.000
Ag1 0.250 0.250 0.250
Pt1 0.250 0.250 0.750
```

Distance to the lowest polymorph of the same formula in eV/atom: 0.407
Formation enthalpy at 0 K in meV/atom: -201
Crystal system: cubic
E_tot in eV/atom: -4.753

=====

# 3
TbPr2Tl3AgPt2 | PBE | relaxed

Structure (CIF):
```
data_TbPr2Tl3AgPt2
_chemical_formula_sum 'Tb2 Pr4 Tl6 Ag2 Pt4'
_cell_length_a 3.938
_cell_length_b 13.828
_cell_length_c 8.026
_cell_angle_alpha 90.00
_cell_angle_beta 90.00
_cell_angle_gamma 90.00
_space_group_name_H-M_alt 'A m m 2'
_space_group_IT_number 38
_space_group_name_Hall 'A 2 -2'
loop_
_atom_site_label
_atom_site_fract_x
_atom_site_fract_y
_atom_site_fract_z
Tb1 0.000 0.000 0.000
Pr1 0.000 0.207 0.378
Tl1 0.500 0.000 0.319
Tl2 0.500 0.132 0.718
Ag1 0.000 0.000 0.587
Pt1 0.500 0.162 0.083
```

Crystal system: orthorhombic
E_tot in eV/atom: -4.675

=====

Question: E_tot of number 2 (PrAgPt)?
Answer: -4.753 eV/atom